Record 1
! Tb2ThPt (PBE, optimized geometry); values from VASP
&SYSTEM
  ibrav = 0, nat = 4, ntyp = 3
/
ATOMIC_SPECIES
Pt 195.08 Pt.upf
Th 232.04 Th.upf
Tb 158.93 Tb.upf
CELL_PARAMETERS angstrom
3.6105 0.0000 0.0000
1.8053 3.1268 0.0000
1.8053 1.0423 10.7406
ATOMIC_POSITIONS crystal
Pt 0.5000 0.5000 0.5000
Th 0.0000 0.0000 0.0000
Tb 0.1079 0.1079 0.6764
Tb 0.8921 0.8921 0.3236
! Energy relative to the lowest polymorph listed for this composition: 383 meV per atom
! SG: No. 166
! Formation enthalpy at 0 K: -0.2607 eV per atom

Record 2
! YGe3Pd3 (PBE, optimized geometry); values from VASP
&SYSTEM
  ibrav = 0, nat = 14, ntyp = 3
/
ATOMIC_SPECIES
Ge 72.64 Ge.upf
Pd 106.42 Pd.upf
Y 88.91 Y.upf
CELL_PARAMETERS angstrom
4.6492 0.0000 0.0000
0.0000 8.7301 0.0000
0.0000 -4.3650 7.5605
ATOMIC_POSITIONS crystal
Ge 0.7500 0.9543 0.6067
Ge 0.2500 0.3476 0.9543
Ge 0.2500 0.0457 0.3933
Ge 0.2500 0.6067 0.6524
Ge 0.7500 0.3933 0.3476
Ge 0.7500 0.6524 0.0457
Pd 0.7500 0.3733 0.0609
Pd 0.2500 0.0609 0.6876
Pd 0.2500 0.3124 0.3733
Pd 0.2500 0.6267 0.9391
Pd 0.7500 0.6876 0.6267
Pd 0.7500 0.9391 0.3124
Y 0.7500 0.3333 0.6667
Y 0.2500 0.6667 0.3333
! Energy relative to the lowest polymorph listed for this composition: 0 meV per atom
! SG: No. 176
! Formation enthalpy at 0 K: -0.4452 eV per atom

Record 3
! Ho4ErTmSe8 (PBE, optimized geometry); values from VASP
&SYSTEM
  ibrav = 0, nat = 14, ntyp = 4
/
ATOMIC_SPECIES
Ho 164.93 Ho.upf
Se 78.96 Se.upf
Tm 168.93 Tm.upf
Er 167.26 Er.upf
CELL_PARAMETERS angstrom
8.3607 0.0000 0.0000
4.1803 7.2406 0.0000
4.1803 2.4135 6.8223
ATOMIC_POSITIONS crystal
Ho 0.4998 0.0000 0.5001
Ho 0.0000 0.4998 0.5001
Ho 0.0000 0.0000 0.5001
Ho 0.6246 0.6246 0.1261
Se 0.2414 0.2414 0.7452
Se 0.2431 0.2431 0.2706
Se 0.2414 0.7721 0.7452
Se 0.7593 0.7593 0.2550
Se 0.7593 0.2264 0.2550
Se 0.7721 0.2414 0.7452
Se 0.7571 0.7571 0.7287
Se 0.2264 0.7593 0.2550
Tm 0.0002 0.0002 0.9994
Er 0.3751 0.3751 0.8746
! DFT total energy: -5.644 eV per atom
! SG: No. 160

Record 4
! ReSb2Te (PBE, optimized geometry); values from VASP
&SYSTEM
  ibrav = 0, nat = 4, ntyp = 3
/
ATOMIC_SPECIES
Sb 121.76 Sb.upf
Te 127.60 Te.upf
Re 186.21 Re.upf
CELL_PARAMETERS angstrom
3.1348 0.0102 0.0000
-1.3364 2.8357 0.0000
0.0000 0.0000 10.7635
ATOMIC_POSITIONS crystal
Sb 0.0000 0.0000 0.9515
Sb 0.5000 0.5000 0.2510
Te 0.0000 0.0000 0.5479
Re 0.5000 0.5000 0.7497
! DFT total energy: -5.329 eV per atom
! SG: No. 35

Record 5
! Li4DySc (PBE, optimized geometry); values from VASP
&SYSTEM
  ibrav = 0, nat = 6, ntyp = 3
/
ATOMIC_SPECIES
Sc 44.96 Sc.upf
Dy 162.50 Dy.upf
Li 6.94 Li.upf
CELL_PARAMETERS angstrom
-2.4958 5.1280 -0.0560
-4.0294 1.1684 -3.8636
-5.4394 0.5421 1.6272
ATOMIC_POSITIONS crystal
Sc 0.0000 0.0000 0.0000
Dy 0.2500 0.2500 0.2500
Li 0.1220 0.6260 0.6260
Li 0.6260 0.6260 0.6260
Li 0.6260 0.1220 0.6260
Li 0.6260 0.6260 0.1220
! SG: No. 216
! Formation enthalpy at 0 K: 0.1462 eV per atom

Record 6
! Mn3B2 (PBE, optimized geometry); values from VASP
&SYSTEM
  ibrav = 0, nat = 5, ntyp = 2
/
ATOMIC_SPECIES
Mn 54.94 Mn.upf
B 10.81 B.upf
CELL_PARAMETERS angstrom
2.8890 0.0000 0.0000
0.0000 2.7795 -0.8871
0.0000 0.2409 5.5528
ATOMIC_POSITIONS crystal
Mn 0.0000 0.1452 0.2904
Mn 0.5000 0.5000 0.0000
Mn 0.0000 0.8548 0.7096
B 0.5000 0.2967 0.5935
B 0.5000 0.7033 0.4065
! SG: No. 65
! Formation enthalpy at 0 K: -0.3086 eV per atom